# Ce8In2Fe | Alexandria | PBE-GGA | optimized geometry
# Volume = 279 Å³/f.u.
# Spin magnetization = 2.3 μB per formula unit
# Space group = C2/m, No. 12
# Energy of formation from the pure elements = -140 meV per atom
data_Ce8In2Fe
_chemical_formula_sum 'Ce8 In2 Fe1'
_cell_length_a 8.4109
_cell_length_b 8.4109
_cell_length_c 6.8716
_cell_angle_alpha 107.90
_cell_angle_beta 107.90
_cell_angle_gamma 37.38
_symmetry_space_group_name_H-M 'P 1'
_symmetry_Int_Tables_number 1
_symmetry_space_group_name_Hall 'P 1'
loop_
_atom_site_label
_atom_site_fract_x
_atom_site_fract_y
_atom_site_fract_z
_atom_site_occupancy
Ce1 0.0196 0.0196 0.2558 1
Ce2 0.1736 0.1736 0.1785 1
Ce3 0.3733 0.3733 0.1169 1
Ce4 0.3991 0.3991 0.5756 1
Ce5 0.6009 0.6009 0.4244 1
Ce6 0.6267 0.6267 0.8831 1
Ce7 0.8264 0.8264 0.8215 1
Ce8 0.9804 0.9804 0.7442 1
In1 0.1958 0.1958 0.6884 1
In2 0.8042 0.8042 0.3116 1
Fe1 0.5000 0.5000 0.0000 1

***

# Mn2Cu2Hg | Alexandria | PBE-GGA | optimized geometry
# Volume = 76 Å³/f.u.
# Spin magnetization = 7.7 μB per formula unit
# Space group = P4/mbm, No. 127
# Energy of formation from the pure elements = 236 meV per atom
data_Mn2Cu2Hg
_chemical_formula_sum 'Mn4 Cu4 Hg2'
_cell_length_a 7.0800
_cell_length_b 7.0800
_cell_length_c 3.0125
_cell_angle_alpha 90.00
_cell_angle_beta 90.00
_cell_angle_gamma 90.00
_symmetry_space_group_name_H-M 'P 1'
_symmetry_Int_Tables_number 1
_symmetry_space_group_name_Hall 'P 1'
loop_
_atom_site_label
_atom_site_fract_x
_atom_site_fract_y
_atom_site_fract_z
_atom_site_occupancy
Mn1 0.1659 0.3341 0.0000 1
Mn2 0.3341 0.8341 0.0000 1
Mn3 0.6659 0.1659 0.0000 1
Mn4 0.8341 0.6659 0.0000 1
Cu1 0.1261 0.6261 0.5000 1
Cu2 0.3739 0.1261 0.5000 1
Cu3 0.6261 0.8739 0.5000 1
Cu4 0.8739 0.3739 0.5000 1
Hg1 0.0000 0.0000 0.5000 1
Hg2 0.5000 0.5000 0.5000 1

***

# Nd5Dy2Er4 | Alexandria | PBE-GGA | optimized geometry
# Volume = 373 Å³/f.u.
# Spin magnetization = 0.0 μB per formula unit
# Offset from the most stable computed form = 0 meV/atom
# Space group = C2/m, No. 12
# Energy of formation from the pure elements = 133 meV per atom
data_Nd5Dy2Er4
_chemical_formula_sum 'Nd5 Dy2 Er4'
_cell_length_a 9.1858
_cell_length_b 9.1858
_cell_length_c 11.7705
_cell_angle_alpha 100.98
_cell_angle_beta 100.98
_cell_angle_gamma 22.52
_symmetry_space_group_name_H-M 'P 1'
_symmetry_Int_Tables_number 1
_symmetry_space_group_name_Hall 'P 1'
loop_
_atom_site_label
_atom_site_fract_x
_atom_site_fract_y
_atom_site_fract_z
_atom_site_occupancy
Nd1 0.0000 0.0000 0.0000 1
Nd2 0.3343 0.3343 0.9983 1
Nd3 0.3485 0.3485 0.4911 1
Nd4 0.6515 0.6515 0.5089 1
Nd5 0.6657 0.6657 0.0017 1
Dy1 0.1461 0.1461 0.2524 1
Dy2 0.8539 0.8539 0.7476 1
Er1 0.1903 0.1903 0.7612 1
Er2 0.4799 0.4799 0.2743 1
Er3 0.5201 0.5201 0.7257 1
Er4 0.8097 0.8097 0.2388 1

***

# Ca2Si2Rh5Pb | Alexandria | PBE-GGA | optimized geometry
# Volume = 173 Å³/f.u.
# Energy relative to the elements, uncorrected = -0.740 eV/atom
# Spin magnetization = 0.0 μB per formula unit
# Space group = P4/mbm, No. 127
data_Ca2Si2Rh5Pb
_chemical_formula_sum 'Ca4 Si4 Rh10 Pb2'
_cell_length_a 10.0067
_cell_length_b 10.0067
_cell_length_c 3.4509
_cell_angle_alpha 90.00
_cell_angle_beta 90.00
_cell_angle_gamma 90.00
_symmetry_space_group_name_H-M 'P 1'
_symmetry_Int_Tables_number 1
_symmetry_space_group_name_Hall 'P 1'
loop_
_atom_site_label
_atom_site_fract_x
_atom_site_fract_y
_atom_site_fract_z
_atom_site_occupancy
Ca1 0.1750 0.3250 0.0000 1
Ca2 0.3250 0.8250 0.0000 1
Ca3 0.6750 0.1750 0.0000 1
Ca4 0.8250 0.6750 0.0000 1
Si1 0.1220 0.6220 0.0000 1
Si2 0.3780 0.1220 0.0000 1
Si3 0.6220 0.8780 0.0000 1
Si4 0.8780 0.3780 0.0000 1
Rh1 0.0000 0.5000 0.5000 1
Rh2 0.0706 0.7798 0.5000 1
Rh3 0.2202 0.0706 0.5000 1
Rh4 0.2798 0.5706 0.5000 1
Rh5 0.4294 0.2798 0.5000 1
Rh6 0.5000 0.0000 0.5000 1
Rh7 0.5706 0.7202 0.5000 1
Rh8 0.7202 0.4294 0.5000 1
Rh9 0.7798 0.9294 0.5000 1
Rh10 0.9294 0.2202 0.5000 1
Pb1 0.0000 0.0000 0.0000 1
Pb2 0.5000 0.5000 0.0000 1

***

# Ce3B7W | Alexandria | PBE-GGA | optimized geometry
# Volume = 137 Å³/f.u.
# Spin magnetization = 0.1 μB per formula unit
# Space group = Cmcm, No. 63
# Energy of formation from the pure elements = -457 meV per atom
data_Ce3B7W
_chemical_formula_sum 'Ce6 B14 W2'
_cell_length_a 8.2990
_cell_length_b 8.2990
_cell_length_c 9.5001
_cell_angle_alpha 90.00
_cell_angle_beta 90.00
_cell_angle_gamma 155.16
_symmetry_space_group_name_H-M 'P 1'
_symmetry_Int_Tables_number 1
_symmetry_space_group_name_Hall 'P 1'
loop_
_atom_site_label
_atom_site_fract_x
_atom_site_fract_y
_atom_site_fract_z
_atom_site_occupancy
Ce1 0.1062 0.8938 0.5645 1
Ce2 0.1062 0.8938 0.9355 1
Ce3 0.2488 0.7512 0.2500 1
Ce4 0.7512 0.2488 0.7500 1
Ce5 0.8938 0.1062 0.0645 1
Ce6 0.8938 0.1062 0.4355 1
B1 0.2743 0.7257 0.5317 1
B2 0.2743 0.7257 0.9683 1
B3 0.3642 0.6358 0.6505 1
B4 0.3642 0.6358 0.8495 1
B5 0.4634 0.5366 0.2500 1
B6 0.4769 0.5231 0.5929 1
B7 0.4769 0.5231 0.9071 1
B8 0.5231 0.4769 0.0929 1
B9 0.5231 0.4769 0.4071 1
B10 0.5366 0.4634 0.7500 1
B11 0.6358 0.3642 0.1505 1
B12 0.6358 0.3642 0.3495 1
B13 0.7257 0.2743 0.0317 1
B14 0.7257 0.2743 0.4683 1
W1 0.0563 0.9437 0.2500 1
W2 0.9437 0.0563 0.7500 1

***

# Nd2Dy3Tm4 | Alexandria | PBE-GGA | optimized geometry
# Volume = 284 Å³/f.u.
# Spin magnetization = 0.0 μB per formula unit
# Offset from the most stable computed form = 8 meV/atom
# Space group = C2/c, No. 15
# Energy of formation from the pure elements = 100 meV per atom
data_Nd2Dy3Tm4
_chemical_formula_sum 'Nd4 Dy6 Tm8'
_cell_length_a 10.0864
_cell_length_b 10.0864
_cell_length_c 5.9922
_cell_angle_alpha 95.73
_cell_angle_beta 95.73
_cell_angle_gamma 69.97
_symmetry_space_group_name_H-M 'P 1'
_symmetry_Int_Tables_number 1
_symmetry_space_group_name_Hall 'P 1'
loop_
_atom_site_label
_atom_site_fract_x
_atom_site_fract_y
_atom_site_fract_z
_atom_site_occupancy
Nd1 0.0096 0.7776 0.7221 1
Nd2 0.2224 0.9904 0.7779 1
Nd3 0.7776 0.0096 0.2221 1
Nd4 0.9904 0.2224 0.2779 1
Dy1 0.1497 0.8503 0.2500 1
Dy2 0.1858 0.4871 0.4122 1
Dy3 0.4871 0.1858 0.9122 1
Dy4 0.5129 0.8142 0.0878 1
Dy5 0.8142 0.5129 0.5878 1
Dy6 0.8503 0.1497 0.7500 1
Tm1 0.1235 0.3434 0.8698 1
Tm2 0.3315 0.5465 0.9565 1
Tm3 0.3434 0.1235 0.3698 1
Tm4 0.4535 0.6685 0.5435 1
Tm5 0.5465 0.3315 0.4565 1
Tm6 0.6566 0.8765 0.6302 1
Tm7 0.6685 0.4535 0.0435 1
Tm8 0.8765 0.6566 0.1302 1

***

# SmScAl2Ag5 | Alexandria | PBE-GGA | optimized geometry
# Volume = 185 Å³/f.u.
# Spin magnetization = 0.0 μB per formula unit
# Space group = P4/mmm, No. 123
# Energy of formation from the pure elements = -95 meV per atom
data_SmScAl2Ag5
_chemical_formula_sum 'Sm1 Sc1 Al2 Ag5'
_cell_length_a 4.6256
_cell_length_b 4.6256
_cell_length_c 8.6457
_cell_angle_alpha 90.00
_cell_angle_beta 90.00
_cell_angle_gamma 90.00
_symmetry_space_group_name_H-M 'P 1'
_symmetry_Int_Tables_number 1
_symmetry_space_group_name_Hall 'P 1'
loop_
_atom_site_label
_atom_site_fract_x
_atom_site_fract_y
_atom_site_fract_z
_atom_site_occupancy
Sm1 0.0000 0.0000 0.0000 1
Sc1 0.0000 0.0000 0.5000 1
Al1 0.5000 0.5000 0.3553 1
Al2 0.5000 0.5000 0.6447 1
Ag1 0.0000 0.5000 0.2334 1
Ag2 0.0000 0.5000 0.7666 1
Ag3 0.5000 0.0000 0.2334 1
Ag4 0.5000 0.0000 0.7666 1
Ag5 0.5000 0.5000 0.0000 1

***

# LaTePd2Br | Alexandria | PBE-GGA | optimized geometry
# Volume = 135 Å³/f.u.
# Energy relative to the elements, uncorrected = -0.382 eV/atom
# Spin magnetization = 0.0 μB per formula unit
# Space group = P4/mmm, No. 123
data_LaTePd2Br
_chemical_formula_sum 'La1 Te1 Pd2 Br1'
_cell_length_a 4.8097
_cell_length_b 4.8097
_cell_length_c 5.8327
_cell_angle_alpha 90.00
_cell_angle_beta 90.00
_cell_angle_gamma 90.00
_symmetry_space_group_name_H-M 'P 1'
_symmetry_Int_Tables_number 1
_symmetry_space_group_name_Hall 'P 1'
loop_
_atom_site_label
_atom_site_fract_x
_atom_site_fract_y
_atom_site_fract_z
_atom_site_occupancy
La1 0.0000 0.0000 0.0000 1
Te1 0.5000 0.5000 0.0000 1
Pd1 0.0000 0.5000 0.5000 1
Pd2 0.5000 0.0000 0.5000 1
Br1 0.0000 0.0000 0.5000 1

***

# Sc6InGa | Alexandria | PBE-GGA | optimized geometry
# Volume = 177 Å³/f.u.
# Spin magnetization = 2.9 μB per formula unit
# Offset from the most stable computed form = 0 meV/atom
# Space group = P4/mmm, No. 123
# Energy of formation from the pure elements = -302 meV per atom
data_Sc6InGa
_chemical_formula_sum 'Sc6 In1 Ga1'
_cell_length_a 4.4588
_cell_length_b 4.4588
_cell_length_c 8.8965
_cell_angle_alpha 90.00
_cell_angle_beta 90.00
_cell_angle_gamma 90.00
_symmetry_space_group_name_H-M 'P 1'
_symmetry_Int_Tables_number 1
_symmetry_space_group_name_Hall 'P 1'
loop_
_atom_site_label
_atom_site_fract_x
_atom_site_fract_y
_atom_site_fract_z
_atom_site_occupancy
Sc1 0.0000 0.0000 0.0000 1
Sc2 0.0000 0.0000 0.5000 1
Sc3 0.0000 0.5000 0.2414 1
Sc4 0.0000 0.5000 0.7586 1
Sc5 0.5000 0.0000 0.2414 1
Sc6 0.5000 0.0000 0.7586 1
In1 0.5000 0.5000 0.5000 1
Ga1 0.5000 0.5000 0.0000 1

***

# K4CaRu | Alexandria | PBE-GGA | optimized geometry
# Volume = 271 Å³/f.u.
# Spin magnetization = 2.0 μB per formula unit
# Space group = F-43m, No. 216
# Energy of formation from the pure elements = 979 meV per atom
data_K4CaRu
_chemical_formula_sum 'K4 Ca1 Ru1'
_cell_length_a 7.2613
_cell_length_b 7.2613
_cell_length_c 7.2613
_cell_angle_alpha 60.00
_cell_angle_beta 60.00
_cell_angle_gamma 60.00
_symmetry_space_group_name_H-M 'P 1'
_symmetry_Int_Tables_number 1
_symmetry_space_group_name_Hall 'P 1'
loop_
_atom_site_label
_atom_site_fract_x
_atom_site_fract_y
_atom_site_fract_z
_atom_site_occupancy
K1 0.1229 0.1229 0.1229 1
K2 0.1229 0.1229 0.6313 1
K3 0.1229 0.6313 0.1229 1
K4 0.6313 0.1229 0.1229 1
Ca1 0.5000 0.5000 0.5000 1
Ru1 0.7500 0.7500 0.7500 1

***

- The highest volume belongs to which entry?
  Nd5Dy2Er4

***

- Look up the spin magnetization of the ninth one.
  2.9 μB per formula unit

***

Copy entry 7 word for word.
# SmScAl2Ag5 | Alexandria | PBE-GGA | optimized geometry
# Volume = 185 Å³/f.u.
# Spin magnetization = 0.0 μB per formula unit
# Space group = P4/mmm, No. 123
# Energy of formation from the pure elements = -95 meV per atom
data_SmScAl2Ag5
_chemical_formula_sum 'Sm1 Sc1 Al2 Ag5'
_cell_length_a 4.6256
_cell_length_b 4.6256
_cell_length_c 8.6457
_cell_angle_alpha 90.00
_cell_angle_beta 90.00
_cell_angle_gamma 90.00
_symmetry_space_group_name_H-M 'P 1'
_symmetry_Int_Tables_number 1
_symmetry_space_group_name_Hall 'P 1'
loop_
_atom_site_label
_atom_site_fract_x
_atom_site_fract_y
_atom_site_fract_z
_atom_site_occupancy
Sm1 0.0000 0.0000 0.0000 1
Sc1 0.0000 0.0000 0.5000 1
Al1 0.5000 0.5000 0.3553 1
Al2 0.5000 0.5000 0.6447 1
Ag1 0.0000 0.5000 0.2334 1
Ag2 0.0000 0.5000 0.7666 1
Ag3 0.5000 0.0000 0.2334 1
Ag4 0.5000 0.0000 0.7666 1
Ag5 0.5000 0.5000 0.0000 1

***

- spin magnetization of number 9 (Sc6InGa)?
  2.9 μB per formula unit